First-principles (PBE) data for crystalline PuFe4Bi at its relaxed geometry, as listed in the Alexandria database.

a b c (Å): 7.283 7.283 7.283
angles (deg): 90.00 90.00 90.00
Space group F-43m (No. 216)
One atom of each set of equivalent atoms:
1 Pu 0.000 0.000 0.000 [4 per cell]
2 Fe 0.128 0.128 0.372 [16 per cell]
3 Bi 0.250 0.250 0.750 [4 per cell]

Output
- Total magnetization: 13.4 μB/f.u.
- Fermi-level density of states: 66.3 states/eV per cell
- E_form: 27.8 kJ per mole of atoms
- Density: 11.63 g/cm3

First-principles (PBE) data for crystalline SrTlCuAgRh at its relaxed geometry, as listed in the Alexandria database.

a b c (Å): 10.116 4.614 5.290
angles (deg): 90.00 118.41 90.00
Space group Cm (No. 8)
One atom of each set of equivalent atoms:
1 Sr 0.000 0.000 0.000 [2 per cell]
2 Tl 0.393 0.000 0.373 [2 per cell]
3 Cu 0.183 0.500 0.905 [2 per cell]
4 Ag 0.216 0.000 0.704 [2 per cell]
5 Rh 0.204 0.500 0.407 [2 per cell]

Output
- Total magnetization: 0.0 μB/f.u.
- Fermi-level density of states: 5.4 states/eV per cell
- E_form: -8.8 kJ per mole of atoms
- Energy relative to the lowest polymorph listed for this composition: 0.013 eV per atom
- Density: 8.66 g/cm3

First-principles (PBE) data for crystalline ZrCuAs3 at its relaxed geometry, as listed in the Alexandria database.

a b c (Å): 4.668 4.668 4.668
angles (deg): 90.00 90.00 90.00
Space group Pm-3m (No. 221)
One atom of each set of equivalent atoms:
1 Zr 0.000 0.000 0.000 [1 per cell]
2 Cu 0.500 0.500 0.500 [1 per cell]
3 As 0.000 0.500 0.500 [3 per cell]

Output
- Total magnetization: 0.0 μB/f.u.
- Fermi-level density of states: 3.6 states/eV per cell
- E_form: 30.9 kJ per mole of atoms
- Energy relative to the lowest polymorph listed for this composition: 0.000 eV per atom
- Density: 6.20 g/cm3

First-principles (PBE) data for crystalline Sm7Ho12Pb at its relaxed geometry, as listed in the Alexandria database.

a b c (Å): 12.2572 12.2572 15.3769
angles (deg): 90.00 90.00 120.00
Space group R-3 (No. 148, hexagonal axes)
One atom of each set of equivalent atoms:
1 Sm 0.0000 0.0000 0.0000 [3 per cell]
2 Sm 0.0133 0.5769 0.7024 [18 per cell]
3 Ho 0.0322 0.8455 0.8096 [18 per cell]
4 Ho 0.0708 0.2616 0.4232 [18 per cell]
5 Pb 0.0000 0.0000 0.5000 [3 per cell]

Output
- Total magnetization: 0.0 μB/f.u.
- Fermi-level density of states: 108.1 states/eV per cell
- E_form: 16.2 kJ per mole of atoms
- Density: 8.06 g/cm3

First-principles (PBE) data for crystalline Cs2KNaHg2 at its relaxed geometry, as listed in the Alexandria database.

a b c (Å): 7.861 19.507 7.846
angles (deg): 90.00 90.00 90.00
Space group Ibam (No. 72)
One atom of each set of equivalent atoms:
1 Cs 0.246 0.179 0.000 [8 per cell]
2 K 0.000 0.500 0.250 [4 per cell]
3 Na 0.000 0.000 0.250 [4 per cell]
4 Hg 0.226 0.109 0.500 [8 per cell]

Output
- Total magnetization: 0.0 μB/f.u.
- Fermi-level density of states: 8.7 states/eV per cell
- E_form: -16.9 kJ per mole of atoms
- Density: 4.02 g/cm3

First-principles (PBE) data for crystalline Cr2NiOs at its relaxed geometry, as listed in the Alexandria database.

a b c (Å): 4.373 2.673 4.435
angles (deg): 90.00 108.15 90.00
Space group P2/m (No. 10)
One atom of each set of equivalent atoms:
1 Cr 0.000 0.000 0.000 [1 per cell]
2 Cr 0.500 0.500 0.000 [1 per cell]
3 Ni 0.000 0.500 0.500 [1 per cell]
4 Os 0.500 0.000 0.500 [1 per cell]

Output
- Total magnetization: 0.0 μB/f.u.
- Fermi-level density of states: 4.3 states/eV per cell
- E_form: 12.5 kJ per mole of atoms
- Density: 11.89 g/cm3

First-principles (PBE) data for crystalline PrSmTmAl at its relaxed geometry, as listed in the Alexandria database.

a b c (Å): 3.546 3.546 9.220
angles (deg): 90.00 90.00 90.00
Space group P4mm (No. 99)
One atom of each set of equivalent atoms:
1 Pr 0.000 0.000 0.000 [1 per cell]
2 Sm 0.500 0.500 0.698 [1 per cell]
3 Tm 0.500 0.500 0.282 [1 per cell]
4 Al 0.000 0.000 0.482 [1 per cell]

Output
- Total magnetization: 0.0 μB/f.u.
- Fermi-level density of states: 3.6 states/eV per cell
- E_form: -17.6 kJ per mole of atoms
- Energy relative to the lowest polymorph listed for this composition: 0.000 eV per atom
- Density: 6.98 g/cm3

First-principles (PBE) data for crystalline Cs4Rb2HgSb2 at its relaxed geometry, as listed in the Alexandria database.

a b c (Å): 15.237 11.768 5.991
angles (deg): 90.00 101.87 90.00
Space group C2/m (No. 12)
One atom of each set of equivalent atoms:
1 Cs 0.135 0.212 0.195 [8 per cell]
2 Rb 0.140 0.500 0.712 [4 per cell]
3 Hg 0.000 0.000 0.500 [2 per cell]
4 Sb 0.183 0.000 0.707 [4 per cell]

Output
- Uncorrected formation energy: -2.550 eV/f.u.
- Total magnetization: 0.0 μB/f.u.
- Fermi-level density of states: 3.0 states/eV per cell
- Density: 3.62 g/cm3

First-principles (PBE) data for crystalline CsHoSe2 at its relaxed geometry, as listed in the Alexandria database.

a b c (Å): 4.2381 4.2381 25.3306
angles (deg): 90.00 90.00 120.00
Space group R3m (No. 160, hexagonal axes)
One atom of each set of equivalent atoms:
1 Cs 0.0000 0.0000 0.0000 [3 per cell]
2 Ho 0.0000 0.0000 0.1686 [3 per cell]
3 Se 0.0000 0.0000 0.5634 [3 per cell]
4 Se 0.0000 0.0000 0.7739 [3 per cell]

Output
- Uncorrected formation energy: -6.839 eV/f.u.
- Total magnetization: 0.0 μB/f.u.
- Fermi-level density of states: 0.0 states/eV per cell
- Density: 5.76 g/cm3

First-principles (PBE) data for crystalline Tb6Ce2PmDy3 at its relaxed geometry, as listed in the Alexandria database.

a b c (Å): 6.156 10.664 11.789
angles (deg): 90.00 100.03 90.00
Space group C2/m (No. 12)
One atom of each set of equivalent atoms:
1 Tb 0.248 0.000 0.250 [4 per cell]
2 Tb 0.248 0.168 0.750 [8 per cell]
3 Ce 0.000 0.167 0.000 [4 per cell]
4 Pm 0.000 0.500 0.000 [2 per cell]
5 Dy 0.000 0.000 0.500 [2 per cell]
6 Dy 0.000 0.334 0.500 [4 per cell]

Output
- Total magnetization: 1.9 μB/f.u.
- Fermi-level density of states: 44.8 states/eV per cell
- E_form: 4.7 kJ per mole of atoms
- Density: 8.13 g/cm3

First-principles (PBE) data for crystalline Cs3Tb3PuTe8 at its relaxed geometry, as listed in the Alexandria database.

a b c (Å): 9.0000 9.0000 27.3218
angles (deg): 90.00 90.00 120.00
Space group R-3m (No. 166, hexagonal axes)
One atom of each set of equivalent atoms:
1 Cs 0.0000 0.5000 0.0000 [9 per cell]
2 Tb 0.0000 0.5000 0.5000 [9 per cell]
3 Pu 0.0000 0.0000 0.5000 [3 per cell]
4 Te 0.0000 0.0000 0.2301 [6 per cell]
5 Te 0.0012 0.5006 0.2292 [18 per cell]

Output
- Uncorrected formation energy: -19.128 eV/f.u.
- Total magnetization: 4.0 μB/f.u.
- Fermi-level density of states: 41.3 states/eV per cell
- Density: 5.56 g/cm3

First-principles (PBE) data for crystalline TaTi2Pd9 at its relaxed geometry, as listed in the Alexandria database.

a b c (Å): 3.946 3.946 11.836
angles (deg): 90.00 90.00 90.00
Space group P4/mmm (No. 123)
One atom of each set of equivalent atoms:
1 Ta 0.000 0.000 0.000 [1 per cell]
2 Ti 0.000 0.000 0.338 [2 per cell]
3 Pd 0.000 0.500 0.166 [4 per cell]
4 Pd 0.000 0.500 0.500 [2 per cell]
5 Pd 0.500 0.500 0.000 [1 per cell]
6 Pd 0.500 0.500 0.333 [2 per cell]

Output
- Total magnetization: 1.1 μB/f.u.
- Fermi-level density of states: 9.4 states/eV per cell
- E_form: -51.5 kJ per mole of atoms
- Density: 11.13 g/cm3

total magnetization of number 6 (Cr2NiOs)?
0.0 μB/f.u.

Among the records above, which one has the lowest Fermi-level density of states?
CsHoSe2

Which of these has the highest density?
Cr2NiOs

Which value of Fermi-level density of states does entry 7 give?
3.6 states/eV per cell